1.
# K2LiSi

A geometry-optimized K2LiSi structure (PBE, Alexandria).

Results
E_form (uncorrected)   512 meV/atom
Spin magnetization   0.1 μB/cell
VASP energy   -1.871 eV per atom
Space-group type   R-3m (166)

Cell lengths 3.737, 3.737, 35.960 Å; angles 90.00, 90.00, 120.00 degrees
Fractional positions:
K 0.000 0.000 0.239
K 0.000 0.000 0.761
K 0.333 0.667 0.428
K 0.333 0.667 0.905
K 0.667 0.333 0.095
K 0.667 0.333 0.572
Li 0.000 0.000 0.000
Li 0.333 0.667 0.667
Li 0.667 0.333 0.333
Si 0.000 0.000 0.500
Si 0.333 0.667 0.167
Si 0.667 0.333 0.833

2.
# K2LiSi

A geometry-optimized K2LiSi structure (PBE, Alexandria).

Results
E_form (uncorrected)   365 meV/atom
Spin magnetization   0.0 μB/cell
VASP energy   -2.018 eV per atom
Space-group type   Immm (71)

Cell lengths 4.762, 4.942, 10.594 Å; angles 90.00, 90.00, 90.00 degrees
Fractional positions:
K 0.000 0.000 0.249
K 0.000 0.000 0.751
K 0.500 0.500 0.251
K 0.500 0.500 0.749
Li 0.000 0.500 0.500
Li 0.500 0.000 0.000
Si 0.000 0.500 0.000
Si 0.500 0.000 0.500

3.
# K2LiSi

A geometry-optimized K2LiSi structure (PBE, Alexandria).

Results
E_form (uncorrected)   177 meV/atom
Spin magnetization   1.1 μB/cell
VASP energy   -2.206 eV per atom
Space-group type   Cm (8)

Cell lengths 8.333, 4.808, 8.147 Å; angles 90.00, 109.72, 90.00 degrees
Fractional positions:
K 0.000 0.000 0.000
K 0.177 0.000 0.537
K 0.500 0.500 0.000
K 0.677 0.500 0.537
Li 0.421 0.000 0.269
Li 0.921 0.500 0.269
Si 0.255 0.500 0.269
Si 0.755 0.000 0.269

4.
# K2LiSi

A geometry-optimized K2LiSi structure (PBE, Alexandria).

Results
E_form (uncorrected)   189 meV/atom
Spin magnetization   2.0 μB/cell
VASP energy   -2.194 eV per atom
Space-group type   Amm2 (38)

Cell lengths 4.965, 5.872, 10.207 Å; angles 90.00, 90.00, 90.00 degrees
Fractional positions:
K 0.000 0.000 0.000
K 0.000 0.500 0.500
K 0.500 0.000 0.333
K 0.500 0.500 0.833
Li 0.000 0.000 0.667
Li 0.000 0.500 0.167
Si 0.500 0.000 0.666
Si 0.500 0.500 0.166

5.
# K7LiSi8

A geometry-optimized K7LiSi8 structure (PBE, Alexandria).

Results
E_form (uncorrected)   -109 meV/atom
Spin magnetization   0.0 μB/cell
VASP energy   -3.420 eV per atom
Space-group type   Pa-3 (205)

Cell lengths 12.544, 12.544, 12.544 Å; angles 90.00, 90.00, 90.00 degrees
Fractional positions:
K 0.000 0.000 0.000
K 0.000 0.500 0.500
K 0.043 0.227 0.310
K 0.043 0.273 0.810
K 0.190 0.543 0.227
K 0.190 0.957 0.727
K 0.227 0.190 0.543
K 0.227 0.310 0.043
K 0.273 0.690 0.543
K 0.273 0.810 0.043
K 0.310 0.043 0.227
K 0.310 0.457 0.727
K 0.457 0.727 0.310
K 0.457 0.773 0.810
K 0.500 0.000 0.500
K 0.500 0.500 0.000
K 0.543 0.227 0.190
K 0.543 0.273 0.690
K 0.690 0.543 0.273
K 0.690 0.957 0.773
K 0.727 0.190 0.957
K 0.727 0.310 0.457
K 0.773 0.690 0.957
K 0.773 0.810 0.457
K 0.810 0.043 0.273
K 0.810 0.457 0.773
K 0.957 0.727 0.190
K 0.957 0.773 0.690
Li 0.000 0.000 0.500
Li 0.000 0.500 0.000
Li 0.500 0.000 0.000
Li 0.500 0.500 0.500
Si 0.052 0.698 0.932
Si 0.052 0.802 0.432
Si 0.068 0.552 0.802
Si 0.068 0.948 0.302
Si 0.195 0.695 0.805
Si 0.195 0.805 0.305
Si 0.198 0.568 0.948
Si 0.198 0.932 0.448
Si 0.302 0.068 0.948
Si 0.302 0.432 0.448
Si 0.305 0.195 0.805
Si 0.305 0.305 0.305
Si 0.432 0.052 0.802
Si 0.432 0.448 0.302
Si 0.448 0.198 0.932
Si 0.448 0.302 0.432
Si 0.552 0.698 0.568
Si 0.552 0.802 0.068
Si 0.568 0.552 0.698
Si 0.568 0.948 0.198
Si 0.695 0.695 0.695
Si 0.695 0.805 0.195
Si 0.698 0.568 0.552
Si 0.698 0.932 0.052
Si 0.802 0.068 0.552
Si 0.802 0.432 0.052
Si 0.805 0.195 0.695
Si 0.805 0.305 0.195
Si 0.932 0.052 0.698
Si 0.932 0.448 0.198
Si 0.948 0.198 0.568
Si 0.948 0.302 0.068

6.
# K2LiSi

A geometry-optimized K2LiSi structure (PBE, Alexandria).

Results
E_form (uncorrected)   311 meV/atom
Spin magnetization   0.8 μB/cell
VASP energy   -2.072 eV per atom
Space-group type   P2/m (10)

Cell lengths 5.075, 5.154, 7.024 Å; angles 90.00, 93.56, 90.00 degrees
Fractional positions:
K 0.216 0.000 0.261
K 0.784 0.000 0.739
Li 0.500 0.500 0.000
Si 0.000 0.500 0.000

7.
# KLi4Si

A geometry-optimized KLi4Si structure (PBE, Alexandria).

Results
E_form (uncorrected)   133 meV/atom
Spin magnetization   1.0 μB/cell
VASP energy   -2.230 eV per atom
Space-group type   F-43m (216)

Cell lengths 5.551, 5.551, 5.551 Å; angles 60.00, 60.00, 60.00 degrees
Fractional positions:
K 0.000 0.000 0.000
Li 0.136 0.621 0.621
Li 0.621 0.136 0.621
Li 0.621 0.621 0.136
Li 0.621 0.621 0.621
Si 0.250 0.250 0.250

8.
# K2LiSi

A geometry-optimized K2LiSi structure (PBE, Alexandria).

Results
E_form (uncorrected)   204 meV/atom
Spin magnetization   2.0 μB/cell
VASP energy   -2.179 eV per atom
Space-group type   Imm2 (44)

Cell lengths 4.761, 6.012, 9.573 Å; angles 90.00, 90.00, 90.00 degrees
Fractional positions:
K 0.000 0.000 0.000
K 0.000 0.500 0.187
K 0.500 0.000 0.687
K 0.500 0.500 0.500
Li 0.000 0.500 0.807
Li 0.500 0.000 0.307
Si 0.000 0.000 0.397
Si 0.500 0.500 0.897

9.
# K4LiSi

A geometry-optimized K4LiSi structure (PBE, Alexandria).

Results
E_form (uncorrected)   555 meV/atom
Spin magnetization   0.0 μB/cell
VASP energy   -1.400 eV per atom
Space-group type   F-43m (216)

Cell lengths 7.147, 7.147, 7.147 Å; angles 60.00, 60.00, 60.00 degrees
Fractional positions:
K 0.377 0.377 0.377
K 0.377 0.377 0.870
K 0.377 0.870 0.377
K 0.870 0.377 0.377
Li 0.000 0.000 0.000
Si 0.750 0.750 0.750

10.
# K2LiSi

A geometry-optimized K2LiSi structure (PBE, Alexandria).

Results
E_form (uncorrected)   402 meV/atom
Spin magnetization   0.0 μB/cell
VASP energy   -1.981 eV per atom
Space-group type   P4/mmm (123)

Cell lengths 4.796, 4.796, 5.457 Å; angles 90.00, 90.00, 90.00 degrees
Fractional positions:
K 0.000 0.500 0.000
K 0.500 0.000 0.000
Li 0.000 0.000 0.500
Si 0.500 0.500 0.500

11.
# KLi2SiTe

A geometry-optimized KLi2SiTe structure (PBE, Alexandria).

Results
E_form (uncorrected)   148 meV/atom
Spin magnetization   1.2 μB/cell
VASP energy   -2.550 eV per atom
Space-group type   P4/mmm (123)

Cell lengths 5.049, 5.049, 5.920 Å; angles 90.00, 90.00, 90.00 degrees
Fractional positions:
K 0.000 0.000 0.000
Li 0.000 0.500 0.500
Li 0.500 0.000 0.500
Si 0.000 0.000 0.500
Te 0.500 0.500 0.000

12.
# K2LiSiTe4

A geometry-optimized K2LiSiTe4 structure (PBE, Alexandria).

Results
E_form (uncorrected)   -602 meV/atom
Spin magnetization   0.0 μB/cell
VASP energy   -3.364 eV per atom
Space-group type   Fddd (70)

Cell lengths 14.755, 13.176, 7.982 Å; angles 84.66, 62.76, 32.59 degrees
Fractional positions:
K 0.058 0.058 0.692
K 0.308 0.308 0.942
K 0.692 0.692 0.058
K 0.942 0.942 0.308
Li 0.125 0.125 0.125
Li 0.875 0.875 0.875
Si 0.375 0.375 0.375
Si 0.625 0.625 0.625
Te 0.007 0.358 0.454
Te 0.318 0.546 0.642
Te 0.358 0.007 0.682
Te 0.454 0.682 0.007
Te 0.546 0.318 0.993
Te 0.642 0.993 0.318
Te 0.682 0.454 0.358
Te 0.993 0.642 0.546

> Among the records above, which one has the lowest E_form (uncorrected)?

K2LiSiTe4

> What is the formula in the tenth record?

K2LiSi

Please write out number 5 again, unchanged.
# K7LiSi8

A geometry-optimized K7LiSi8 structure (PBE, Alexandria).

Results
E_form (uncorrected)   -109 meV/atom
Spin magnetization   0.0 μB/cell
VASP energy   -3.420 eV per atom
Space-group type   Pa-3 (205)

Cell lengths 12.544, 12.544, 12.544 Å; angles 90.00, 90.00, 90.00 degrees
Fractional positions:
K 0.000 0.000 0.000
K 0.000 0.500 0.500
K 0.043 0.227 0.310
K 0.043 0.273 0.810
K 0.190 0.543 0.227
K 0.190 0.957 0.727
K 0.227 0.190 0.543
K 0.227 0.310 0.043
K 0.273 0.690 0.543
K 0.273 0.810 0.043
K 0.310 0.043 0.227
K 0.310 0.457 0.727
K 0.457 0.727 0.310
K 0.457 0.773 0.810
K 0.500 0.000 0.500
K 0.500 0.500 0.000
K 0.543 0.227 0.190
K 0.543 0.273 0.690
K 0.690 0.543 0.273
K 0.690 0.957 0.773
K 0.727 0.190 0.957
K 0.727 0.310 0.457
K 0.773 0.690 0.957
K 0.773 0.810 0.457
K 0.810 0.043 0.273
K 0.810 0.457 0.773
K 0.957 0.727 0.190
K 0.957 0.773 0.690
Li 0.000 0.000 0.500
Li 0.000 0.500 0.000
Li 0.500 0.000 0.000
Li 0.500 0.500 0.500
Si 0.052 0.698 0.932
Si 0.052 0.802 0.432
Si 0.068 0.552 0.802
Si 0.068 0.948 0.302
Si 0.195 0.695 0.805
Si 0.195 0.805 0.305
Si 0.198 0.568 0.948
Si 0.198 0.932 0.448
Si 0.302 0.068 0.948
Si 0.302 0.432 0.448
Si 0.305 0.195 0.805
Si 0.305 0.305 0.305
Si 0.432 0.052 0.802
Si 0.432 0.448 0.302
Si 0.448 0.198 0.932
Si 0.448 0.302 0.432
Si 0.552 0.698 0.568
Si 0.552 0.802 0.068
Si 0.568 0.552 0.698
Si 0.568 0.948 0.198
Si 0.695 0.695 0.695
Si 0.695 0.805 0.195
Si 0.698 0.568 0.552
Si 0.698 0.932 0.052
Si 0.802 0.068 0.552
Si 0.802 0.432 0.052
Si 0.805 0.195 0.695
Si 0.805 0.305 0.195
Si 0.932 0.052 0.698
Si 0.932 0.448 0.198
Si 0.948 0.198 0.568
Si 0.948 0.302 0.068